(1)
Computed, not measured: a geometry-optimized SeNF2 structure at the PBE level of DFT.

Cell: 5.6915 5.6915 5.6915 Å, 120.16 120.16 89.73°
Atoms (fractional coordinates):
Se: 0.3750 0.6250 0.7500
Se: 0.6250 0.3750 0.2500
N: 0.1250 0.8750 0.2500
N: 0.8750 0.1250 0.7500
F: 0.0000 0.0000 0.0000
F: 0.0000 0.0000 0.5000
F: 0.0000 0.5000 0.0000
F: 0.5000 0.0000 0.5000

Its space group is No. 141. As for the relative energy among the computed polymorphs: 54.6 kJ per mole of atoms. For the size of the total moment, the calculation gives 0.9 μB per formula unit. For the total energy, the calculation gives -22.486 eV per cell.

(2)
Computed, not measured: a geometry-optimized SeN3F structure at the PBE level of DFT.

Cell: 3.6775 3.6775 3.6775 Å, 90.00 90.00 90.00°
Atoms (fractional coordinates):
Se: 0.0000 0.0000 0.0000
N: 0.0000 0.5000 0.5000
N: 0.5000 0.0000 0.5000
N: 0.5000 0.5000 0.0000
F: 0.5000 0.5000 0.5000

Its space group is No. 221. For the size of the total moment, the calculation gives 0.0 μB per formula unit. For the total energy, the calculation gives -15.194 eV per cell.

(3)
Computed, not measured: a geometry-optimized SeNF3 structure at the PBE level of DFT.

Cell: 3.9979 3.9979 3.9979 Å, 90.00 90.00 90.00°
Atoms (fractional coordinates):
Se: 0.0000 0.0000 0.0000
N: 0.5000 0.5000 0.5000
F: 0.0000 0.5000 0.5000
F: 0.5000 0.0000 0.5000
F: 0.5000 0.5000 0.0000

Its space group is No. 221. As for the relative energy among the computed polymorphs: 63.8 kJ per mole of atoms. For the size of the total moment, the calculation gives 4.0 μB per formula unit. For the total energy, the calculation gives -13.697 eV per cell.

(4)
Computed, not measured: a geometry-optimized SeN3F structure at the PBE level of DFT.

Cell: 3.8108 3.8108 3.8108 Å, 90.00 90.00 90.00°
Atoms (fractional coordinates):
Se: 0.0000 0.0000 0.0000
N: 0.0000 0.0000 0.5000
N: 0.0000 0.5000 0.0000
N: 0.5000 0.0000 0.0000
F: 0.5000 0.5000 0.5000

Its space group is No. 221. For the size of the total moment, the calculation gives 4.6 μB per formula unit. For the total energy, the calculation gives -18.905 eV per cell.

(5)
Computed, not measured: a geometry-optimized SeNF2 structure at the PBE level of DFT.

Cell: 8.8957 8.8957 8.8957 Å, 19.89 19.89 19.89°
Atoms (fractional coordinates):
Se: 0.0000 0.0000 0.0000
N: 0.5000 0.5000 0.5000
F: 0.0706 0.0706 0.0706
F: 0.9294 0.9294 0.9294

Its space group is No. 166. As for the relative energy among the computed polymorphs: 0.0 kJ per mole of atoms. For the size of the total moment, the calculation gives 2.9 μB per formula unit. For the total energy, the calculation gives -13.505 eV per cell.

(6)
Computed, not measured: a geometry-optimized SeNF2 structure at the PBE level of DFT.

Cell: 4.0457 4.0457 4.0457 Å, 60.00 60.00 60.00°
Atoms (fractional coordinates):
Se: 0.0000 0.0000 0.0000
N: 0.5000 0.5000 0.5000
F: 0.2500 0.2500 0.2500
F: 0.7500 0.7500 0.7500

Its space group is No. 225. As for the relative energy among the computed polymorphs: 44.9 kJ per mole of atoms. For the size of the total moment, the calculation gives 1.0 μB per formula unit. For the total energy, the calculation gives -11.642 eV per cell.

(7)
Computed, not measured: a geometry-optimized SeNF2 structure at the PBE level of DFT.

Cell: 7.9331 7.9331 7.9331 Å, 20.12 20.12 20.12°
Atoms (fractional coordinates):
Se: 0.0000 0.0000 0.0000
N: 0.5000 0.5000 0.5000
F: 0.4297 0.4297 0.4297
F: 0.5703 0.5703 0.5703

Its space group is No. 166. As for the relative energy among the computed polymorphs: 32.6 kJ per mole of atoms. For the size of the total moment, the calculation gives 0.0 μB per formula unit. For the total energy, the calculation gives -12.153 eV per cell.

(8)
Computed, not measured: a geometry-optimized SeNF3 structure at the PBE level of DFT.

Cell: 4.2095 4.2095 4.2095 Å, 90.00 90.00 90.00°
Atoms (fractional coordinates):
Se: 0.0000 0.0000 0.0000
N: 0.5000 0.5000 0.5000
F: 0.0000 0.0000 0.5000
F: 0.0000 0.5000 0.0000
F: 0.5000 0.0000 0.0000

Its space group is No. 221. As for the relative energy among the computed polymorphs: 0.0 kJ per mole of atoms. For the size of the total moment, the calculation gives 2.9 μB per formula unit. For the total energy, the calculation gives -17.000 eV per cell.

(9)
Computed, not measured: a geometry-optimized SiSe2NF structure at the PBE level of DFT.

Cell: 4.6269 4.6269 4.0684 Å, 90.00 90.00 90.00°
Atoms (fractional coordinates):
Si: 0.0000 0.0000 0.0000
Se: 0.0000 0.5000 0.5000
Se: 0.5000 0.0000 0.5000
N: 0.5000 0.5000 0.0000
F: 0.5000 0.5000 0.5000

Its space group is No. 123. As for the relative energy among the computed polymorphs: 99.9 kJ per mole of atoms. For the size of the total moment, the calculation gives 1.9 μB per formula unit. For the total energy, the calculation gives -15.979 eV per cell.

(10)
Computed, not measured: a geometry-optimized SiSe2NF structure at the PBE level of DFT.

Cell: 5.1927 5.1927 3.2042 Å, 90.00 90.00 90.00°
Atoms (fractional coordinates):
Si: 0.0000 0.0000 0.0000
Se: 0.0000 0.5000 0.0000
Se: 0.5000 0.0000 0.0000
N: 0.0000 0.0000 0.5000
F: 0.5000 0.5000 0.5000

Its space group is No. 123. As for the relative energy among the computed polymorphs: 0.0 kJ per mole of atoms. For the size of the total moment, the calculation gives 1.6 μB per formula unit. For the total energy, the calculation gives -21.154 eV per cell.

(11)
Computed, not measured: a geometry-optimized SiSeNF2 structure at the PBE level of DFT.

Cell: 4.1260 4.1260 3.3807 Å, 90.00 90.00 90.00°
Atoms (fractional coordinates):
Si: 0.0000 0.0000 0.0000
Se: 0.5000 0.5000 0.5000
N: 0.0000 0.0000 0.5000
F: 0.0000 0.5000 0.0000
F: 0.5000 0.0000 0.0000

Its space group is No. 123. As for the relative energy among the computed polymorphs: 0.0 kJ per mole of atoms. For the size of the total moment, the calculation gives 0.0 μB per formula unit. For the total energy, the calculation gives -23.269 eV per cell.

(12)
Computed, not measured: a geometry-optimized SiSeNF2 structure at the PBE level of DFT.

Cell: 4.5367 4.5367 3.6999 Å, 90.00 90.00 90.00°
Atoms (fractional coordinates):
Si: 0.0000 0.0000 0.0000
Se: 0.5000 0.5000 0.5000
N: 0.5000 0.5000 0.0000
F: 0.0000 0.5000 0.5000
F: 0.5000 0.0000 0.5000

Its space group is No. 123. As for the relative energy among the computed polymorphs: 74.8 kJ per mole of atoms. For the size of the total moment, the calculation gives 0.5 μB per formula unit. For the total energy, the calculation gives -19.393 eV per cell.